No. 1
The following is a GGA-PBE calculation of a geometry-optimized DyEr4Cu2 structure, from Alexandria.

abc: 4.7852 4.7852 29.2743
angles: 90.00 90.00 120.00
Space group R-3m (No. 166, hexagonal axes)
Symmetry-distinct sites (fractional):
Dy (0.0000, 0.0000, 0.0000) x3
Er (0.0000, 0.0000, 0.2002) x6
Er (0.0000, 0.0000, 0.4018) x6
Cu (0.0000, 0.0000, 0.1008) x6

Computed properties:
The formation enthalpy at 0 K comes out at 1.1 eV/f.u. Its density of states at the Fermi level is 1.290 states/eV per atom. The value obtained for the mass density is 8.2 g/cm³. For the magnetization, the calculation gives 0.00 μB/atom.

***

No. 2
The following is a GGA-PBE calculation of a geometry-optimized DyErCu10 structure, from Alexandria.

abc: 4.097 5.039 8.649
angles: 90.00 90.00 90.00
Space group Pmmm (No. 47)
Symmetry-distinct sites (fractional):
Dy (0.000, 0.000, 0.000) x1
Er (0.000, 0.500, 0.500) x1
Cu (0.000, 0.000, 0.334) x2
Cu (0.000, 0.500, 0.167) x2
Cu (0.500, 0.000, 0.500) x1
Cu (0.500, 0.250, 0.251) x4
Cu (0.500, 0.500, 0.000) x1

Computed properties:
The formation enthalpy at 0 K comes out at -2.3 eV/f.u. Its density of states at the Fermi level is 0.637 states/eV per atom. The value obtained for the mass density is 9.0 g/cm³. For the magnetization, the calculation gives 0.00 μB/atom.

***

No. 3
The following is a GGA-PBE calculation of a geometry-optimized DyEr2Cu structure, from Alexandria.

abc: 6.773 9.626 6.444
angles: 90.00 90.00 90.00
Space group Pnma (No. 62)
Symmetry-distinct sites (fractional):
Dy (0.016, 0.250, 0.130) x4
Er (0.190, 0.059, 0.686) x8
Cu (0.096, 0.750, 0.448) x4

Computed properties:
The formation enthalpy at 0 K comes out at -0.5 eV/f.u. Its density of states at the Fermi level is 1.183 states/eV per atom. The value obtained for the mass density is 8.9 g/cm³. For the magnetization, the calculation gives 0.00 μB/atom.

***

No. 4
The following is a GGA-PBE calculation of a geometry-optimized DyEr2Cu3 structure, from Alexandria.

abc: 3.438 3.438 10.370
angles: 90.00 90.00 90.00
Space group P4/mmm (No. 123)
Symmetry-distinct sites (fractional):
Dy (0.000, 0.000, 0.000) x1
Er (0.000, 0.000, 0.334) x2
Cu (0.500, 0.500, 0.170) x2
Cu (0.500, 0.500, 0.500) x1

Computed properties:
The formation enthalpy at 0 K comes out at -1.6 eV/f.u. Its density of states at the Fermi level is 0.455 states/eV per atom. The value obtained for the mass density is 9.3 g/cm³. For the magnetization, the calculation gives 0.00 μB/atom.

***

No. 5
The following is a GGA-PBE calculation of a geometry-optimized DyEr2Cu6 structure, from Alexandria.

abc: 7.3110 7.3110 3.5191
angles: 90.00 90.00 120.00
Space group P6/mmm (No. 191)
Symmetry-distinct sites (fractional):
Dy (0.0000, 0.0000, 0.0000) x1
Er (0.3333, 0.6667, 0.0000) x2
Cu (0.0000, 0.3340, 0.5000) x6

Computed properties:
The formation enthalpy at 0 K comes out at -2.4 eV/f.u. Its density of states at the Fermi level is 0.523 states/eV per atom. The value obtained for the mass density is 9.0 g/cm³. For the magnetization, the calculation gives 0.00 μB/atom.

***

No. 6
The following is a GGA-PBE calculation of a geometry-optimized Dy4ErCu structure, from Alexandria.

abc: 3.495 3.495 13.687
angles: 90.00 90.00 90.00
Space group P4/mmm (No. 123)
Symmetry-distinct sites (fractional):
Dy (0.000, 0.000, 0.125) x2
Dy (0.500, 0.500, 0.317) x2
Er (0.000, 0.000, 0.500) x1
Cu (0.500, 0.500, 0.000) x1

Computed properties:
The formation enthalpy at 0 K comes out at -0.3 eV/f.u. Its density of states at the Fermi level is 1.210 states/eV per atom. The value obtained for the mass density is 8.8 g/cm³. For the magnetization, the calculation gives 0.00 μB/atom.

***

No. 7
The following is a GGA-PBE calculation of a geometry-optimized DyEr2Cu structure, from Alexandria.

abc: 4.871 11.492 7.495
angles: 90.00 90.00 90.00
Space group Cmcm (No. 63)
Symmetry-distinct sites (fractional):
Dy (0.000, 0.045, 0.250) x4
Er (0.000, 0.352, 0.033) x8
Cu (0.000, 0.202, 0.750) x4

Computed properties:
The formation enthalpy at 0 K comes out at -0.3 eV/f.u. Its density of states at the Fermi level is 1.259 states/eV per atom. The value obtained for the mass density is 8.9 g/cm³. For the magnetization, the calculation gives 0.00 μB/atom.

***

No. 8
The following is a GGA-PBE calculation of a geometry-optimized Dy3Er3Cu4 structure, from Alexandria.

abc: 3.700 11.180 11.089
angles: 90.00 90.00 90.00
Space group Amm2 (No. 38)
Symmetry-distinct sites (fractional):
Dy (0.000, 0.000, 0.000) x2
Dy (0.000, 0.165, 0.340) x4
Er (0.000, 0.000, 0.671) x2
Er (0.500, 0.249, 0.089) x4
Cu (0.500, 0.000, 0.215) x2
Cu (0.500, 0.000, 0.462) x2
Cu (0.500, 0.122, 0.835) x4

Computed properties:
The formation enthalpy at 0 K comes out at -1.7 eV/f.u. Its density of states at the Fermi level is 1.227 states/eV per atom. The value obtained for the mass density is 9.0 g/cm³. For the magnetization, the calculation gives 0.00 μB/atom.